# GGA-PBE HfBMo2Os, optimized geometry
# E_tot = -44.01 eV per cell
# Formation energy = 1.103 eV per atom
# Size of the total moment = 0.00 Bohr magnetons per cell
data_HfBMo2Os
_chemical_formula_sum 'Hf1 B1 Mo2 Os1'
_cell_length_a 4.845
_cell_length_b 4.845
_cell_length_c 3.951
_cell_angle_alpha 90.00
_cell_angle_beta 90.00
_cell_angle_gamma 90.00
_symmetry_space_group_name_H-M 'P 4/m m m'
_symmetry_Int_Tables_number 123
_symmetry_space_group_name_Hall '-P 4 2'
loop_
_atom_site_label
_atom_site_type_symbol
_atom_site_fract_x
_atom_site_fract_y
_atom_site_fract_z
_atom_site_occupancy
Hf1 Hf 0.000 0.000 0.000 1
B1 B 0.500 0.500 0.000 1
Mo1 Mo 0.000 0.500 0.500 1
Os1 Os 0.500 0.500 0.500 1